(1)
Here is crystalline LiPmBi3 at its relaxed geometry from Alexandria via LeMat-Bulk. Energies are from PBE.

Output
- polymorph energy (0 for the lowest one) (meV per atom) = 0
- Fermi-level density of states (states/eV/f.u.) = 1.41

abc: 13.9188 6.3171 6.5648
angles: 90.00 90.00 90.00
Closest atoms and distances in Å follow each position.
Space group Pbcm (No. 57)
Inequivalent atoms, fractional coordinates:
Li1 0.1113 0.2500 0.0000 x4  6 Bi 3.02-3.33, 2 Li 3.28
Pm1 0.3143 0.5122 0.2500 x4  9 Bi 3.21-3.53
Bi1 0.0758 0.7024 0.2500 x4  4 Li 3.09-3.33, 3 Bi 3.14-3.34
Bi2 0.2555 0.0039 0.2500 x4  2 Li 3.02, 1 Bi 3.14, 4 Pm 3.21-3.38
Bi3 0.4957 0.2500 0.0000 x4  4 Bi 3.16-3.28, 4 Pm 3.44-3.46

(2)
Here is crystalline LiPmBi at its relaxed geometry from Alexandria via LeMat-Bulk. Energies are from PBE.

Output
- polymorph energy (0 for the lowest one) (meV per atom) = 210
- Fermi-level density of states (states/eV/f.u.) = 2.05

abc: 7.2153 7.2153 7.2153
angles: 90.00 90.00 90.00
Closest atoms and distances in Å follow each position.
Space group F-43m (No. 216)
Inequivalent atoms, fractional coordinates:
Li1 0.0000 0.0000 0.0000 x4  4 Bi 3.12
Pm1 0.0000 0.0000 0.5000 x4  4 Bi 3.12
Bi1 0.2500 0.2500 0.2500 x4  4 Li 3.12, 4 Pm 3.12

(3)
Here is crystalline LiPm2Bi at its relaxed geometry from Alexandria via LeMat-Bulk. Energies are from PBE.

Output
- polymorph energy (0 for the lowest one) (meV per atom) = 75
- Fermi-level density of states (states/eV/f.u.) = 4.44

abc: 4.1618 4.1618 6.7079
angles: 90.00 90.00 90.00
Closest atoms and distances in Å follow each position.
Space group P4/mmm (No. 123)
Inequivalent atoms, fractional coordinates:
Li1 0.0000 0.0000 0.0000 x1  2 Bi 3.35, 8 Pm 3.40
Pm1 0.5000 0.5000 0.2534 x2  2 Pm 3.31-3.40, 4 Bi 3.38, 4 Li 3.40
Bi1 0.0000 0.0000 0.5000 x1  2 Li 3.35, 8 Pm 3.38

(4)
Here is crystalline LiPmBi at its relaxed geometry from Alexandria via LeMat-Bulk. Energies are from PBE.

Output
- polymorph energy (0 for the lowest one) (meV per atom) = 123
- Fermi-level density of states (states/eV/f.u.) = 0.92

abc: 10.9747 4.8886 6.6292
angles: 90.00 101.43 90.00
Closest atoms and distances in Å follow each position.
Space group C2/m (No. 12)
Inequivalent atoms, fractional coordinates:
Li1 0.1056 0.0000 0.4049 x4  3 Bi 2.80-3.01, 1 Li 2.85
Pm1 0.1288 0.5000 0.7548 x4  5 Bi 3.21-3.48, 5 Li 3.29-3.55
Bi1 0.1705 0.5000 0.2480 x4  3 Li 2.80-3.01

(5)
Here is crystalline LiPmBi3 at its relaxed geometry from Alexandria via LeMat-Bulk. Energies are from PBE.

Output
- polymorph energy (0 for the lowest one) (meV per atom) = 354
- Fermi-level density of states (states/eV/f.u.) = 2.61

abc: 5.2538 5.2538 5.2538
angles: 90.00 90.00 90.00
Closest atoms and distances in Å follow each position.
Space group Pm-3m (No. 221)
Inequivalent atoms, fractional coordinates:
Li1 0.0000 0.0000 0.0000 x1  6 Bi 2.63
Pm1 0.5000 0.5000 0.5000 x1  12 Bi 3.72
Bi1 0.0000 0.0000 0.5000 x3  2 Li 2.63

(6)
Here is crystalline Li4PmBi at its relaxed geometry from Alexandria via LeMat-Bulk. Energies are from PBE.

Output
- E (eV/atom) = -2.8386
- Fermi-level density of states (states/eV/f.u.) = 5.38

abc: 8.1560 8.1560 8.1560
angles: 90.00 90.00 90.00
Closest atoms and distances in Å follow each position.
Space group F-43m (No. 216)
Inequivalent atoms, fractional coordinates:
Li1 0.1251 0.1251 0.1251 x16  6 Li 2.88-2.89
Pm1 0.0000 0.0000 0.5000 x4  12 Li 3.38, 4 Bi 3.53
Bi1 0.2500 0.2500 0.7500 x4  12 Li 3.38, 4 Pm 3.53